A plane-wave DFT calculation with PBE was carried out for an optimized crystal structure of Pm6PrSm2Y.

Values from the calculation:
**Spin magnetization**: 0.00 μB/f.u.
**Formation energy from the elements**: 0.1101 eV per atom

```
data_Pm6PrSm2Y
_chemical_formula_sum 'Pm24 Pr4 Sm8 Y4'
_space_group_name_H-M_alt 'C 1 2/c 1'
_space_group_IT_number 15
_space_group_name_Hall '-C 2yc'
_cell_length_a 9.2365
_cell_length_b 15.4030
_cell_length_c 9.8334
_cell_angle_alpha 90.00
_cell_angle_beta 97.97
_cell_angle_gamma 90.00
loop_
_atom_site_label
_atom_site_type_symbol
_atom_site_fract_x
_atom_site_fract_y
_atom_site_fract_z
Pm1 Pm 0.0648 0.1848 0.4449
Pm2 Pm 0.1002 0.3933 0.6201
Pm3 Pm 0.2075 0.2243 0.8148
Pr1 Pr 0.0000 0.0224 0.7500
Sm1 Sm 0.2492 0.0505 0.0438
Y1 Y 0.0000 0.4085 0.2500
```

=====

A plane-wave DFT calculation with PBE was carried out for an optimized crystal structure of CaMg2Hg.

Values from the calculation:
**Spin magnetization**: 0.00 μB/f.u.
**Formation energy from the elements**: -0.2982 eV per atom

```
data_CaMg2Hg
_chemical_formula_sum 'Ca2 Mg4 Hg2'
_space_group_name_H-M_alt 'P 1 21/m 1'
_space_group_IT_number 11
_space_group_name_Hall '-P 2yb'
_cell_length_a 4.4874
_cell_length_b 8.4144
_cell_length_c 5.9262
_cell_angle_alpha 90.00
_cell_angle_beta 112.00
_cell_angle_gamma 90.00
loop_
_atom_site_label
_atom_site_type_symbol
_atom_site_fract_x
_atom_site_fract_y
_atom_site_fract_z
Ca1 Ca 0.0608 0.2500 0.1203
Mg1 Mg 0.3565 0.0543 0.7133
Hg1 Hg 0.2285 0.7500 0.4579
```